Computed, not measured: MnFe2Ru at its PBEsol-relaxed geometry at the SCAN level of DFT.

Cell: 4.9331 8.1674 2.5042 Å, 90.00 111.13 90.00°
Closest atoms and distances in Å follow each position.
Space group C2/m (No. 12)
Inequivalent atoms, fractional coordinates:
Mn: 0.0000 0.0000 0.0000  2 Ru 2.47, 4 Fe 2.48, 2 Mn 2.50
Fe: 0.2500 0.2500 0.5000  4 Fe 2.47-2.50, 2 Mn 2.48, 2 Ru 2.48
Ru: 0.0000 0.5000 0.0000  2 Mn 2.47, 4 Fe 2.48, 2 Ru 2.50

Values from the calculation:
Raw total energy: -22.243 eV per atom
ΔH_f (0 K): 0.092 eV per atom
Magnetization: 15.69 μB/cell
ρ: 9.447 g/cm³
V: 11.8 Å³ per atom
DOS at the Fermi energy: 0.94 states/eV/atom

Computed, not measured: MnFeRu2 at its PBEsol-relaxed geometry at the SCAN level of DFT.

Cell: 2.8414 4.1621 4.3073 Å, 90.00 90.00 90.00°
Closest atoms and distances in Å follow each position.
Space group Pmmm (No. 47)
Inequivalent atoms, fractional coordinates:
Mn: 0.0000 0.0000 0.0000  4 Ru 2.52, 4 Fe 2.58
Fe: 0.5000 0.0000 0.5000  4 Ru 2.52, 4 Mn 2.58
Ru: 0.0000 0.5000 0.5000  4 Fe 2.52, 4 Ru 2.58
Ru: 0.5000 0.5000 0.0000  4 Mn 2.52, 4 Ru 2.58

Values from the calculation:
Raw total energy: -26.396 eV per atom
ΔH_f (0 K): 0.113 eV per atom
Magnetization: 6.98 μB/cell
ρ: 10.201 g/cm³
V: 12.7 Å³ per atom
DOS at the Fermi energy: 0.97 states/eV/atom

Computed, not measured: MnFeRu2 at its PBEsol-relaxed geometry at the SCAN level of DFT.

Cell: 2.9227 2.9227 5.8969 Å, 90.00 90.00 90.00°
Closest atoms and distances in Å follow each position.
Space group P4/mmm (No. 123)
Inequivalent atoms, fractional coordinates:
Mn: 0.0000 0.0000 0.0000  8 Ru 2.54
Fe: 0.0000 0.0000 0.5000  8 Ru 2.54
Ru: 0.5000 0.5000 0.2499  4 Mn 2.54, 4 Fe 2.54

Values from the calculation:
Raw total energy: -26.598 eV per atom
ΔH_f (0 K): -0.089 eV per atom
Magnetization: 6.89 μB/cell
ρ: 10.316 g/cm³
V: 12.6 Å³ per atom
DOS at the Fermi energy: 0.55 states/eV/atom

Computed, not measured: MnFeSb2 at its PBEsol-relaxed geometry at the SCAN level of DFT.

Cell: 7.7440 3.3137 5.7486 Å, 90.00 103.79 90.00°
Closest atoms and distances in Å follow each position.
Space group C2/m (No. 12)
Inequivalent atoms, fractional coordinates:
Mn: 0.0000 0.0000 0.0000  6 Sb 2.70-2.75
Fe: 0.0000 0.5000 0.5000  6 Sb 2.63-2.64
Sb: 0.2448 0.0000 0.7345  3 Fe 2.63-2.64, 3 Mn 2.70-2.75

Values from the calculation:
Raw total energy: -27.527 eV per atom
E_form (uncorrected): 200 meV/atom
Magnetization: 11.98 μB/cell
ρ: 8.213 g/cm³
V: 17.9 Å³ per atom
DOS at the Fermi energy: 0.71 states/eV/atom

Computed, not measured: ScMnFe2 at its PBEsol-relaxed geometry at the SCAN level of DFT.

Cell: 3.7140 3.7140 7.9145 Å, 90.00 90.00 90.00°
Closest atoms and distances in Å follow each position.
Space group I4/mmm (No. 139)
Inequivalent atoms, fractional coordinates:
Sc: 0.0000 0.0000 0.0000  4 Mn 2.63, 8 Fe 2.71
Mn: 0.0000 0.0000 0.5000  4 Sc 2.63, 8 Fe 2.71
Fe: 0.0000 0.5000 0.2500  4 Fe 2.63, 4 Mn 2.71, 4 Sc 2.71

Values from the calculation:
Raw total energy: -17.125 eV per atom
ΔH_f (0 K): 0.063 eV per atom
Magnetization: 16.56 μB/cell
ρ: 6.437 g/cm³
V: 13.6 Å³ per atom
DOS at the Fermi energy: 1.00 states/eV/atom

Computed, not measured: Sc2MnFe at its PBEsol-relaxed geometry at the SCAN level of DFT.

Cell: 3.0390 4.3670 9.3836 Å, 90.00 90.00 90.00°
Closest atoms and distances in Å follow each position.
Space group Imm2 (No. 44)
Inequivalent atoms, fractional coordinates:
Sc: 0.0000 0.0000 0.0000  4 Fe 2.68, 2 Sc 2.98
Sc: 0.0000 0.5000 0.2168  4 Mn 2.73, 2 Fe 2.83, 4 Sc 2.98-3.04
Mn: 0.0000 0.5000 0.7799  2 Fe 2.29
Fe: 0.0000 0.0000 0.4629  2 Mn 2.29

Values from the calculation:
Raw total energy: -16.211 eV per atom
ΔH_f (0 K): 0.003 eV per atom
Magnetization: 5.85 μB/cell
ρ: 5.352 g/cm³
V: 15.6 Å³ per atom
DOS at the Fermi energy: 0.87 states/eV/atom

Computed, not measured: Sc2MnFe at its PBEsol-relaxed geometry at the SCAN level of DFT.

Cell: 3.0971 3.0971 6.4091 Å, 90.00 90.00 90.00°
Closest atoms and distances in Å follow each position.
Space group P4/mmm (No. 123)
Inequivalent atoms, fractional coordinates:
Sc: 0.0000 0.0000 0.2313  4 Fe 2.64, 4 Mn 2.79
Mn: 0.5000 0.5000 0.5000  8 Sc 2.79, 4 Mn 3.10
Fe: 0.5000 0.5000 0.0000  8 Sc 2.64

Values from the calculation:
Raw total energy: -16.257 eV per atom
ΔH_f (0 K): -0.042 eV per atom
Magnetization: 3.08 μB/cell
ρ: 5.421 g/cm³
V: 15.4 Å³ per atom
DOS at the Fermi energy: 0.52 states/eV/atom

Computed, not measured: ScMnFe at its PBEsol-relaxed geometry at the SCAN level of DFT.

Cell: 5.6005 5.6005 5.6005 Å, 90.00 90.00 90.00°
Closest atoms and distances in Å follow each position.
Space group F-43m (No. 216)
Inequivalent atoms, fractional coordinates:
Sc: 0.0000 0.0000 0.0000  4 Mn 2.43
Mn: 0.2500 0.2500 0.2500  4 Fe 2.43, 4 Sc 2.43
Fe: 0.0000 0.0000 0.5000  4 Mn 2.43

Values from the calculation:
Raw total energy: -16.224 eV per atom
ΔH_f (0 K): 0.650 eV per atom
Magnetization: 1.49 μB/cell
ρ: 5.889 g/cm³
V: 14.6 Å³ per atom
DOS at the Fermi energy: 0.85 states/eV/atom

Computed, not measured: Sc2MnFe at its PBEsol-relaxed geometry at the SCAN level of DFT.

Cell: 6.2646 6.2646 6.2646 Å, 90.00 90.00 90.00°
Closest atoms and distances in Å follow each position.
Space group Fm-3m (No. 225)
Inequivalent atoms, fractional coordinates:
Sc: 0.2500 0.2500 0.2500  4 Mn 2.71, 4 Fe 2.71
Mn: 0.0000 0.0000 0.0000  8 Sc 2.71
Fe: 0.0000 0.0000 0.5000  8 Sc 2.71

Values from the calculation:
Raw total energy: -16.232 eV per atom
ΔH_f (0 K): -0.017 eV per atom
Magnetization: 14.50 μB/cell
ρ: 5.422 g/cm³
V: 15.4 Å³ per atom
DOS at the Fermi energy: 0.48 states/eV/atom

Computed, not measured: ScMn2TlFe at its PBEsol-relaxed geometry at the SCAN level of DFT.

Cell: 4.3905 4.3905 5.2808 Å, 90.00 90.00 90.00°
Closest atoms and distances in Å follow each position.
Space group P4/mmm (No. 123)
Inequivalent atoms, fractional coordinates:
Sc: 0.0000 0.0000 0.0000  4 Mn 2.20
Mn: 0.0000 0.5000 0.0000  2 Sc 2.20
Tl: 0.0000 0.0000 0.5000  2 Sc 2.64
Fe: 0.5000 0.5000 0.5000  4 Tl 3.10, 8 Mn 3.43

Values from the calculation:
Raw total energy: -26.862 eV per atom
ΔH_f (0 K): 1.385 eV per atom
Magnetization: 9.45 μB/cell
ρ: 6.771 g/cm³
V: 20.4 Å³ per atom
DOS at the Fermi energy: 0.54 states/eV/atom

Computed, not measured: MnFeSe2 at its PBEsol-relaxed geometry at the SCAN level of DFT.

Cell: 7.4711 3.1613 6.0074 Å, 90.00 102.36 90.00°
Closest atoms and distances in Å follow each position.
Space group Cm (No. 8)
Inequivalent atoms, fractional coordinates:
Mn: 0.0000 0.0000 0.0000  3 Fe 2.38-2.48, 5 Se 2.39-2.61
Fe: 0.2449 0.5000 0.1780  3 Se 2.35-2.45, 3 Mn 2.38-2.48
Se: 0.2589 0.0000 0.8256  3 Mn 2.39-2.46, 2 Fe 2.66
Se: 0.4870 0.0000 0.3424  3 Fe 2.35-2.45, 2 Mn 2.61

Values from the calculation:
Raw total energy: -19.377 eV per atom
E_form (uncorrected): -242 meV/atom
Magnetization: 11.90 μB/cell
ρ: 6.439 g/cm³
V: 17.3 Å³ per atom
DOS at the Fermi energy: 0.59 states/eV/atom

Computed, not measured: Mn2FeSe at its PBEsol-relaxed geometry at the SCAN level of DFT.

Cell: 2.6853 2.6853 22.6548 Å, 90.00 90.00 120.00°
Closest atoms and distances in Å follow each position.
Space group R-3m (No. 166, hexagonal axes)
Inequivalent atoms, fractional coordinates:
Mn: 0.0000 0.0000 0.2499  3 Se 2.44, 3 Fe 2.44, 6 Mn 2.69
Fe: 0.0000 0.0000 0.0000  6 Mn 2.44, 6 Fe 2.69
Se: 0.0000 0.0000 0.5000  6 Mn 2.44, 6 Se 2.69

Values from the calculation:
Raw total energy: -18.217 eV per atom
E_form (uncorrected): 463 meV/atom
Magnetization: 5.32 μB/cell
ρ: 8.616 g/cm³
V: 11.8 Å³ per atom
DOS at the Fermi energy: 1.32 states/eV/atom

Computed, not measured: Mn2FeSe at its PBEsol-relaxed geometry at the SCAN level of DFT.

Cell: 3.1633 3.9821 7.6386 Å, 90.00 90.00 90.00°
Closest atoms and distances in Å follow each position.
Space group Immm (No. 71)
Inequivalent atoms, fractional coordinates:
Mn: 0.0000 0.0000 0.2452  2 Se 2.45, 4 Fe 2.51-2.73, 4 Mn 2.54
Fe: 0.0000 0.5000 0.0000  8 Mn 2.51-2.73, 4 Se 2.54
Se: 0.0000 0.5000 0.5000  4 Mn 2.45, 4 Fe 2.54

Values from the calculation:
Raw total energy: -18.585 eV per atom
E_form (uncorrected): 95 meV/atom
Magnetization: 16.54 μB/cell
ρ: 8.445 g/cm³
V: 12.0 Å³ per atom
DOS at the Fermi energy: 0.66 states/eV/atom

Computed, not measured: MnFeSe at its PBEsol-relaxed geometry at the SCAN level of DFT.

Cell: 2.7832 2.7832 5.5715 Å, 90.00 90.00 120.00°
Closest atoms and distances in Å follow each position.
Space group P3m1 (No. 156)
Inequivalent atoms, fractional coordinates:
Mn: 0.0000 0.0000 0.0000  3 Se 2.42, 3 Fe 2.43
Fe: 0.6667 0.3333 0.3271  3 Mn 2.43, 3 Se 2.51
Se: 0.3333 0.6667 0.6742  3 Mn 2.42, 3 Fe 2.51

Values from the calculation:
Raw total energy: -18.421 eV per atom
E_form (uncorrected): 400 meV/atom
Magnetization: 0.59 μB/cell
ρ: 8.430 g/cm³
V: 12.5 Å³ per atom
DOS at the Fermi energy: 0.99 states/eV/atom

Computed, not measured: Mn4FeSe at its PBEsol-relaxed geometry at the SCAN level of DFT.

Cell: 6.6034 6.6034 6.6034 Å, 90.00 90.00 90.00°
Closest atoms and distances in Å follow each position.
Space group F-43m (No. 216)
Inequivalent atoms, fractional coordinates:
Mn: 0.1244 0.1244 0.3756  6 Mn 2.32-2.34
Fe: 0.2500 0.2500 0.7500  12 Mn 2.74, 4 Se 2.86
Se: 0.0000 0.0000 0.0000  12 Mn 2.74, 4 Fe 2.86

Values from the calculation:
Raw total energy: -18.057 eV per atom
E_form (uncorrected): 481 meV/atom
Magnetization: 39.79 μB/cell
ρ: 8.179 g/cm³
V: 12.0 Å³ per atom
DOS at the Fermi energy: 0.71 states/eV/atom